No. 1
The following is a DFT calculation (PBE-GGA) of CsRbBr2 after structural relaxation.

```
CsRbBr2
1.0
6.073 0.000 0.000
3.036 5.259 0.000
3.036 1.753 4.959
Br Cs Rb
2 1 1
Cartesian
3.036 1.753 1.240
9.109 5.259 3.719
0.000 0.000 0.000
6.073 3.506 2.479
```

Computed properties:
- Space group: Fm-3m, No. 225
- Uncorrected energy: -3.005 eV per atom
- E_form (uncorrected): -1713 meV per atom
- Energy relative to the lowest polymorph listed for this composition: 0.20 eV/f.u.


No. 2
The following is a DFT calculation (PBE-GGA) of Cs2RbBr3 after structural relaxation.

```
Cs2RbBr3
1.0
5.117 0.000 0.000
0.000 7.252 0.000
-2.558 -3.626 7.698
Br Cs Rb
3 2 1
Cartesian
-1.279 1.813 6.287
3.838 1.813 1.411
1.279 -1.813 3.849
3.838 5.439 1.262
-1.279 -1.813 6.436
1.279 1.813 3.849
```

Computed properties:
- Space group: Immm, No. 71
- Uncorrected energy: -3.052 eV per atom
- E_form (uncorrected): -1769 meV per atom